Record 1
Crystalline MnPtW4 at its relaxed geometry. Source: Alexandria via LeMat-Bulk, functional PBE-GGA.

POSCAR file:
```
MnPtW4
1.0
0.000 3.694 3.694
3.694 0.000 3.694
3.694 3.694 0.000
Mn Pt W
1 1 4
Cartesian
0.000 0.000 0.000
5.541 5.541 5.541
2.763 2.763 2.763
4.625 4.625 2.763
4.625 2.763 4.625
2.763 4.625 4.625
```

**Volume**: 100.83 Å³/cell
**Magnetization**: 0.485 μB/atom
**Energy relative to the elements**: 283 kJ/mol of formula units
**Space group**: No. 216



Record 2
Crystalline Ce2ErAl at its relaxed geometry. Source: Alexandria via LeMat-Bulk, functional PBE-GGA.

POSCAR file:
```
Ce2ErAl
1.0
7.554 0.000 0.000
0.000 7.554 0.000
0.000 0.000 7.554
Ce Er Al
8 4 4
Cartesian
1.889 1.889 1.889
1.889 1.889 5.666
1.889 5.666 1.889
1.889 5.666 5.666
5.666 1.889 1.889
5.666 1.889 5.666
5.666 5.666 1.889
5.666 5.666 5.666
0.000 0.000 0.000
0.000 3.777 3.777
3.777 0.000 3.777
3.777 3.777 0.000
0.000 0.000 3.777
0.000 3.777 0.000
3.777 0.000 0.000
3.777 3.777 3.777
```

**Volume**: 431.11 Å³/cell
**Relative energy among the computed polymorphs**: 202 meV/atom
**Magnetization**: 0.504 μB/atom
**Energy relative to the elements**: 8 kJ/mol of formula units
**Space group**: No. 225